Entry w
A plane-wave DFT calculation with GGA-PBE was carried out for an optimized crystal structure of KBi3Sb.

DOS at the Fermi energy = 0.315 states/eV/atom
Total magnetization = 0.0000 μB/atom

Cell: 5.7333 9.5801 7.1726 Å, 90.00 90.00 89.92°
Fractional coordinates of all 10 atoms:
Sb1 0.1858 0.6792 0.7007
Sb2 0.6847 0.6731 0.2008
Bi1 0.9074 0.9407 0.7007
Bi2 0.4067 0.4119 0.2008
Bi3 0.9293 0.4496 0.4483
Bi4 0.4297 0.9034 0.4540
Bi5 0.9293 0.4496 0.9533
Bi6 0.4297 0.9034 0.9475
K1 0.9266 0.0937 0.2007
K2 0.4270 0.2593 0.7008

Entry x
A plane-wave DFT calculation with GGA-PBE was carried out for an optimized crystal structure of KBi3Sb.

DOS at the Fermi energy = 1.482 states/eV/atom
Total magnetization = 0.0000 μB/atom

Cell: 5.9866 5.9866 5.9866 Å, 90.00 90.00 90.00°
Fractional coordinates of all 5 atoms:
Bi1 0.0000 0.5000 0.0000
Bi2 0.0000 0.0000 0.5000
Bi3 0.5000 0.0000 0.0000
Sb1 0.0000 0.0000 0.0000
K1 0.5000 0.5000 0.5000

Entry y
A plane-wave DFT calculation with GGA-PBE was carried out for an optimized crystal structure of KBi3Sb.

DOS at the Fermi energy = 1.518 states/eV/atom
Total magnetization = 0.0925 μB/atom

Cell: 5.8901 5.8901 5.8901 Å, 90.00 90.00 90.00°
Each line ends with the local moment (μB).
Fractional coordinates of all 5 atoms:
Bi1 0.0000 0.5000 0.0000  0.10
Bi2 0.0000 0.0000 0.5000  0.10
Bi3 0.5000 0.0000 0.0000  0.12
K1 0.0000 0.0000 0.0000  0.05
Sb1 0.5000 0.5000 0.5000  -0.01

Relative to the most stable one, in meV/atom, the structures come out at entry w 0; entry x 361; entry y 1269.

Entry w
A plane-wave DFT calculation with GGA-PBE was carried out for an optimized crystal structure of K3BiSb.

DOS at the Fermi energy = 0.231 states/eV/atom
Total magnetization = 0.0000 μB/atom

Cell: 8.8441 8.8441 8.8441 Å, 90.13 108.74 132.56°
Fractional coordinates of all 10 atoms:
Bi1 0.6298 0.1548 0.9750
Bi2 0.1798 0.6548 0.0250
K1 0.8289 0.1738 0.6855
K2 0.4883 0.1435 0.3145
K3 0.1722 0.3437 0.3284
K4 0.8289 0.6435 0.1551
K5 0.4883 0.6738 0.8449
K6 0.0153 0.8437 0.6716
Sb1 0.6382 0.8425 0.2957
Sb2 0.5468 0.3425 0.7043

Entry x
A plane-wave DFT calculation with GGA-PBE was carried out for an optimized crystal structure of K3BiSb.

DOS at the Fermi energy = 0.094 states/eV/atom
Total magnetization = 0.0000 μB/atom

Cell: 7.7716 9.4456 11.4251 Å, 107.65 90.00 90.00°
Fractional coordinates of all 20 atoms:
Bi1 0.7981 0.9934 0.4983
Bi2 0.2019 0.0066 0.5017
Bi3 0.7019 0.9934 0.9983
Bi4 0.2981 0.0066 0.0017
K1 0.4841 0.2020 0.3105
K2 0.5159 0.7980 0.6895
K3 0.4855 0.1997 0.7894
K4 0.7623 0.4180 0.6042
K5 0.0159 0.2020 0.8105
K6 0.5145 0.8003 0.2106
K7 0.9841 0.7980 0.1895
K8 0.7377 0.4180 0.1042
K9 0.9855 0.8003 0.7106
K10 0.0145 0.1997 0.2894
K11 0.2623 0.5820 0.8958
K12 0.2377 0.5820 0.3958
Sb1 0.7421 0.6588 0.9144
Sb2 0.2579 0.3412 0.0856
Sb3 0.7579 0.6588 0.4144
Sb4 0.2421 0.3412 0.5856

Entry y
A plane-wave DFT calculation with GGA-PBE was carried out for an optimized crystal structure of K3BiSb.

DOS at the Fermi energy = 1.060 states/eV/atom
Total magnetization = 0.6000 μB/atom

Cell: 6.6612 6.6612 6.6612 Å, 90.00 90.00 90.00°
Each line ends with the local moment (μB).
Fractional coordinates of all 5 atoms:
Bi1 0.5000 0.5000 0.5000  1.12
K1 0.0000 0.0000 0.5000  0.01
K2 0.5000 0.0000 0.0000  0.01
K3 0.0000 0.5000 0.0000  0.01
Sb1 0.0000 0.0000 0.0000  0.34

Relative to the most stable one, in meV/atom, the structures come out at entry w 91; entry x 0; entry y 440.

Entry w
A plane-wave DFT calculation with GGA-PBE was carried out for an optimized crystal structure of KBiSe3.

DOS at the Fermi energy = 1.232 states/eV/atom
Total magnetization = 0.0000 μB/atom

Cell: 5.5837 5.5837 5.5837 Å, 90.00 90.00 90.00°
Fractional coordinates of all 5 atoms:
Se1 0.0000 0.5000 0.0000
Se2 0.5000 0.0000 0.0000
Se3 0.0000 0.0000 0.5000
K1 0.5000 0.5000 0.5000
Bi1 0.0000 0.0000 0.0000

Entry x
A plane-wave DFT calculation with GGA-PBE was carried out for an optimized crystal structure of KBiSe3.

DOS at the Fermi energy = 0.626 states/eV/atom
Total magnetization = 0.4011 μB/atom

Cell: 5.5783 5.5783 5.5783 Å, 90.00 90.00 90.00°
Each line ends with the local moment (μB).
Fractional coordinates of all 5 atoms:
K1 0.0000 0.0000 0.0000  0.06
Se1 0.0000 0.5000 0.0000  0.54
Se2 0.0000 0.0000 0.5000  0.63
Se3 0.5000 0.0000 0.0000  0.42
Bi1 0.5000 0.5000 0.5000  -0.38

Relative to the most stable one, in meV/atom, the structures come out at entry w 0; entry x 1065.

Entry w
A plane-wave DFT calculation with GGA-PBE was carried out for an optimized crystal structure of K2SiBi.

DOS at the Fermi energy = 0.371 states/eV/atom
Total magnetization = 0.0000 μB/atom

Cell: 13.0260 13.0260 9.6022 Å, 47.29 47.29 90.00°
Fractional coordinates of all 8 atoms:
Si1 0.5000 0.5000 0.0000
Si2 0.2500 0.7500 0.5000
K1 0.8750 0.6325 0.7500
K2 0.3825 0.1250 0.2500
K3 0.3750 0.6175 0.7500
K4 0.3675 0.6250 0.2500
Bi1 0.7500 0.2500 0.5000
Bi2 0.0000 0.0000 0.0000

Entry x
A plane-wave DFT calculation with GGA-PBE was carried out for an optimized crystal structure of K2SiBi.

DOS at the Fermi energy = 0.560 states/eV/atom
Total magnetization = 0.0000 μB/atom

Cell: 7.0757 9.1183 11.0006 Å, 109.97 90.00 90.00°
Fractional coordinates of all 16 atoms:
K1 0.7241 0.1739 0.7619
K2 0.7759 0.6739 0.7619
K3 0.7801 0.6154 0.1897
K4 0.7199 0.1154 0.1897
K5 0.2801 0.8846 0.8103
K6 0.2759 0.8261 0.2381
K7 0.2241 0.3261 0.2381
K8 0.2199 0.3846 0.8103
Si1 0.6115 0.4868 0.4170
Si2 0.3885 0.5132 0.5830
Si3 0.8885 0.9868 0.4170
Si4 0.1115 0.0132 0.5830
Bi1 0.6051 0.8227 0.5158
Bi2 0.8949 0.3227 0.5158
Bi3 0.1051 0.6773 0.4842
Bi4 0.3949 0.1773 0.4842

Entry y
A plane-wave DFT calculation with GGA-PBE was carried out for an optimized crystal structure of K2SiBi.

DOS at the Fermi energy = 0.960 states/eV/atom
Total magnetization = 0.0001 μB/atom

Cell: 5.7439 5.7439 5.7439 Å, 60.00 60.00 60.00°
Fractional coordinates of all 4 atoms:
K1 0.2500 0.2500 0.2500
K2 0.7500 0.7500 0.7500
Si1 0.0000 0.0000 0.0000
Bi1 0.5000 0.5000 0.5000

Relative to the most stable one, in meV/atom, the structures come out at entry w 118; entry x 0; entry y 283.